<w>
CoW5 | PBE | relaxed

Output
ρ = 17.45 Mg/m³

abc: 4.8195 4.8195 4.6263
angles: 90.00 90.00 120.00
Site moments in Bohr magnetons follow the coordinates.
Fractional positions:
W: 0.3333 0.6667 0.5000  0.01
W: 0.6732 0.0000 0.0000  -0.01
W: 0.3268 0.3268 0.0000  -0.01
W: 0.6667 0.3333 0.5000  0.01
W: 0.0000 0.6732 0.0000  -0.01
Co: 0.0000 0.0000 0.5000  0.30

<x>
CoW5 | PBE | relaxed

Output
ρ = 17.57 Mg/m³

abc: 2.6894 2.6894 12.7833
angles: 90.00 90.00 90.00
Fractional positions:
Co: 0.5000 0.5000 0.0000
W: 0.5000 0.5000 0.6801
W: 0.5000 0.5000 0.3199
W: 0.0000 0.0000 0.1416
W: 0.0000 0.0000 0.8584
W: 0.0000 0.0000 0.5000

<y>
CoW5 | PBE | relaxed

Output
ρ = 17.39 Mg/m³

abc: 7.7233 7.7233 4.6347
angles: 90.00 90.00 160.26
Fractional positions:
W: 0.5543 0.4457 0.5000
W: 0.6545 0.3455 0.0000
W: 0.2259 0.7741 0.5000
W: 0.3349 0.6651 0.0000
W: 0.8955 0.1045 0.5000
Co: 0.0015 0.9985 0.0000

<x> comes first in stability; the runner-up is 0.142 eV/atom higher.

<w>
Co5W4 | PBE | relaxed

Output
ρ = 14.69 Mg/m³

abc: 5.9961 5.9961 5.9961
angles: 95.03 95.03 145.57
Site moments in Bohr magnetons follow the coordinates.
Fractional positions:
W: 0.3153 0.0000 0.3153  0.01
W: 0.6847 0.0000 0.6847  0.01
W: 0.0000 0.3153 0.3153  0.01
W: 0.0000 0.6847 0.6847  0.01
Co: 0.6596 0.6596 0.3192  0.53
Co: 0.3404 0.3404 0.6808  0.53
Co: 0.3404 0.6596 0.0000  0.53
Co: 0.0000 0.0000 0.0000  0.12
Co: 0.6596 0.3404 0.0000  0.53

<x>
Co5W4 | PBE | relaxed

Output
ρ = 14.55 Mg/m³

abc: 7.2773 7.2773 5.1278
angles: 90.00 90.00 60.00
Site moments in Bohr magnetons follow the coordinates.
Fractional positions:
Co: 0.6667 0.6667 0.5000  0.59
Co: 0.0000 0.3366 0.2500  0.00
Co: 0.3366 0.0000 0.7500  0.00
Co: 0.6634 0.0000 0.2500  0.00
Co: 0.3366 0.6634 0.2500  0.00
Co: 0.6667 0.6667 0.0000  0.59
Co: 0.3333 0.3333 0.0000  0.59
Co: 0.6634 0.3366 0.7500  0.00
Co: 0.0000 0.6634 0.7500  0.00
Co: 0.3333 0.3333 0.5000  0.59
W: 0.6620 0.3380 0.2500  -0.03
W: 0.0000 0.0000 0.0000  -0.03
W: 0.0000 0.6620 0.2500  -0.03
W: 0.6620 0.0000 0.7500  -0.03
W: 0.3380 0.6620 0.7500  -0.03
W: 0.3380 0.0000 0.2500  -0.03
W: 0.0000 0.0000 0.5000  -0.03
W: 0.0000 0.3380 0.7500  -0.03

<w> comes first in stability; the runner-up is 0.067 eV/atom higher.

<w>
Co3W4 | PBE | relaxed

Output
ρ = 15.91 Mg/m³

abc: 4.7617 4.7617 4.8489
angles: 90.00 90.00 60.00
Fractional positions:
W: 0.6667 0.6667 0.5000
W: 0.0000 0.0000 0.2527
W: 0.3333 0.3333 0.5000
W: 0.0000 0.0000 0.7473
Co: 0.5000 0.0000 0.0000
Co: 0.5000 0.5000 0.0000
Co: 0.0000 0.5000 0.0000

<x>
Co3W4 | PBE | relaxed

Output
ρ = 15.57 Mg/m³

abc: 10.1243 10.1243 10.1243
angles: 162.17 162.17 25.32
Site moments in Bohr magnetons follow the coordinates.
Fractional positions:
W: 0.4271 0.4271 0.0000  0.15
W: 0.5729 0.5729 0.0000  0.15
W: 0.8458 0.8458 0.0000  0.02
W: 0.1542 0.1542 0.0000  0.02
Co: 0.2849 0.2849 0.0000  -0.06
Co: 0.0000 0.0000 0.0000  1.22
Co: 0.7151 0.7151 0.0000  -0.06

<w> comes first in stability; the runner-up is 0.174 eV/atom higher.

<w>
Y2CoW | PBE | relaxed

Output
ρ = 8.28 Mg/m³

abc: 7.6931 7.6931 6.1413
angles: 51.22 51.22 90.00
Fractional positions:
Y: 0.1697 0.6250 0.2500
Y: 0.5803 0.1250 0.2500
Y: 0.3750 0.4197 0.7500
Y: 0.8750 0.8303 0.7500
Co: 0.5000 0.5000 0.0000
Co: 0.2500 0.7500 0.5000
W: 0.0000 0.0000 0.0000
W: 0.7500 0.2500 0.5000

<x>
Y2CoW | PBE | relaxed

Output
ρ = 8.88 Mg/m³

abc: 4.8095 4.8095 4.8095
angles: 60.00 60.00 60.00
Site moments in Bohr magnetons follow the coordinates.
Fractional positions:
Y: 0.0000 0.0000 0.0000  0.13
Y: 0.2500 0.2500 0.2500  -0.05
W: 0.7500 0.7500 0.7500  0.33
Co: 0.5000 0.5000 0.5000  1.23

<y>
Y2CoW | PBE | relaxed

Output
ρ = 8.43 Mg/m³

abc: 4.9470 4.9449 3.3880
angles: 90.00 90.00 90.00
Site moments in Bohr magnetons follow the coordinates.
Fractional positions:
Y: 0.0000 0.0000 0.0000  0.02
Y: 0.5000 0.5000 0.0000  0.02
W: 0.0000 0.5000 0.5000  0.95
Co: 0.5000 0.0000 0.5000  0.68

<y> comes first in stability; the runner-up is 0.157 eV/atom higher.

<w>
Y2CoW | PBE | relaxed

Output
ρ = 7.06 Mg/m³

abc: 7.6193 7.6193 7.6193
angles: 30.17 30.17 30.17
Fractional positions:
Y: 0.2221 0.2221 0.2221
Y: 0.0307 0.0307 0.0307
W: 0.7988 0.7988 0.7988
Co: 0.4485 0.4485 0.4485

<x>
Y2CoW | PBE | relaxed

Output
ρ = 7.99 Mg/m³

abc: 6.0959 6.0959 6.0959
angles: 147.77 133.18 57.98
Fractional positions:
Y: 0.9890 0.9890 0.0000
Y: 0.2758 0.7758 0.5000
W: 0.6909 0.1909 0.5000
Co: 0.5443 0.5443 0.0000

<w> comes first in stability; the runner-up is 0.096 eV/atom higher.

<w>
Y2CoW | PBE | relaxed

Output
ρ = 8.57 Mg/m³

abc: 3.2692 3.2512 8.3341
angles: 66.97 90.00 90.00
Site moments in Bohr magnetons follow the coordinates.
Fractional positions:
W: 0.5000 0.7500 0.7500  0.12
Y: 0.0000 0.9743 0.0259  -0.09
Y: 0.0000 0.5257 0.4741  -0.09
Co: 0.5000 0.2500 0.2500  0.79

<x>
Y2CoW | PBE | relaxed

Output
ρ = 8.54 Mg/m³

abc: 9.2498 9.2498 9.2498
angles: 20.10 20.10 20.10
Site moments in Bohr magnetons follow the coordinates.
Fractional positions:
Co: 0.2500 0.2500 0.2500  0.66
Y: 0.5082 0.5082 0.5082  -0.05
Y: 0.9918 0.9918 0.9918  -0.05
W: 0.7500 0.7500 0.7500  -0.06

<y>
Y2CoW | PBE | relaxed

Output
ρ = 8.53 Mg/m³

abc: 5.7175 5.7175 5.7175
angles: 138.30 138.30 60.44
Site moments in Bohr magnetons follow the coordinates.
Fractional positions:
Co: 0.5000 0.5000 0.0000  0.23
Y: 0.0000 0.0000 0.0000  -0.02
Y: 0.7500 0.2500 0.5000  -0.01
W: 0.2500 0.7500 0.5000  0.01

<z>
Y2CoW | PBE | relaxed

Output
ρ = 8.55 Mg/m³

abc: 5.4738 5.4738 5.4738
angles: 140.95 126.54 68.16
Site moments in Bohr magnetons follow the coordinates.
Fractional positions:
Co: 0.2500 0.7500 0.5000  0.76
W: 0.7500 0.2500 0.5000  0.79
Y: 0.4618 0.4618 0.0000  -0.04
Y: 0.0382 0.0382 0.0000  -0.04

<w> comes first in stability; the runner-up is 0.174 eV/atom higher.

<w>
Y2CoW | PBE | relaxed

Output
ρ = 8.18 Mg/m³

abc: 3.1551 3.1551 8.5803
angles: 90.00 90.00 90.00
Fractional positions:
Y: 0.5000 0.5000 0.3158
Y: 0.0000 0.0000 0.9426
Co: 0.0000 0.0000 0.5527
W: 0.5000 0.5000 0.6889

<x>
Y2CoW | PBE | relaxed

Output
ρ = 7.68 Mg/m³

abc: 3.6628 4.6535 5.8168
angles: 66.45 90.00 90.00
Fractional positions:
W: 0.5000 0.5677 0.7400
Y: 0.5000 0.2671 0.3404
Y: 0.0000 0.9720 0.9312
Co: 0.0000 0.6932 0.4884

<x> comes first in stability; the runner-up is 0.030 eV/atom higher.

<w>
ZnCoW3 | PBE | relaxed

Output
ρ = 12.66 Mg/m³

abc: 4.4583 4.4583 4.4583
angles: 90.00 90.00 90.00
Fractional positions:
W: 0.0000 0.5000 0.0000
W: 0.0000 0.0000 0.5000
W: 0.5000 0.0000 0.0000
Co: 0.0000 0.0000 0.0000
Zn: 0.5000 0.5000 0.5000

<x>
ZnCoW3 | PBE | relaxed

Output
ρ = 12.42 Mg/m³

abc: 4.4880 4.4880 4.4880
angles: 90.00 90.00 90.00
Fractional positions:
W: 0.0000 0.0000 0.5000
W: 0.0000 0.5000 0.0000
W: 0.5000 0.0000 0.0000
Co: 0.5000 0.5000 0.5000
Zn: 0.0000 0.0000 0.0000

<w> comes first in stability; the runner-up is 0.823 eV/atom higher.